Below is RbCe3Se6 after structural relaxation, with properties calculated at the PBE-GGA level.

Output
* formation energy from raw total energies: -1.623 eV/atom
* total magnetic moment: 0.43 μB/cell
* total DFT energy (no corrections): -55.9 eV/f.u.
* D(E_F): 0.914 states/eV/atom

Unit cell a=12.4933 b=4.3274 c=13.1553 alpha=90.00 beta=106.99 gamma=90.00
Atoms (fractional coordinates):
1 Rb 0.1445 0.2500 0.4322
2 Rb 0.8555 0.7500 0.5678
3 Ce 0.1613 0.7500 0.0523
4 Ce 0.2370 0.2500 0.7920
5 Ce 0.4643 0.2500 0.3483
6 Ce 0.5357 0.7500 0.6517
7 Ce 0.7630 0.7500 0.2080
8 Ce 0.8387 0.2500 0.9477
9 Se 0.0575 0.2500 0.9016
10 Se 0.1452 0.7500 0.6510
11 Se 0.2386 0.2500 0.1987
12 Se 0.3219 0.7500 0.9395
13 Se 0.3714 0.7500 0.4461
14 Se 0.4500 0.2500 0.7465
15 Se 0.5500 0.7500 0.2535
16 Se 0.6286 0.2500 0.5539
17 Se 0.6781 0.2500 0.0605
18 Se 0.7614 0.7500 0.8013
19 Se 0.8548 0.2500 0.3490
20 Se 0.9425 0.7500 0.0984


Below is CaNbCr after structural relaxation, with properties calculated at the PBE-GGA level.

Output
* total magnetic moment: 0.00 μB/cell
* polymorph energy (0 for the lowest one): 0 meV/atom
* total DFT energy (no corrections): -20.7 eV/f.u.
* D(E_F): 1.281 states/eV/atom

Unit cell a=11.1005 b=11.1005 c=3.2702 alpha=90.48 beta=90.48 gamma=20.03
Atoms (fractional coordinates):
1 Ca 0.1784 0.1784 0.2451
2 Ca 0.8216 0.8216 0.7549
3 Nb 0.4390 0.4390 0.2670
4 Nb 0.5610 0.5610 0.7330
5 Cr 0.0403 0.0403 0.2267
6 Cr 0.9597 0.9597 0.7733